! HfBe17V, optimized geometry, DFT GGA-PBE; values from VASP
&SYSTEM
  ibrav = 0, nat = 19, ntyp = 3
/
ATOMIC_SPECIES
Hf 178.49 Hf.upf
Be 9.01 Be.upf
V 50.94 V.upf
CELL_PARAMETERS angstrom
3.6804 2.1249 3.5830
-3.6804 2.1249 3.5830
0.0000 -4.2497 3.5830
ATOMIC_POSITIONS crystal
Hf 0.0000 0.0000 0.0000
Be 0.0419 0.3422 0.6306
Be 0.0419 0.6306 0.3422
Be 0.1833 0.6822 0.6822
Be 0.2432 0.2432 0.2432
Be 0.3369 0.3369 0.8392
Be 0.3369 0.8392 0.3369
Be 0.3422 0.0419 0.6306
Be 0.3422 0.6306 0.0419
Be 0.4396 0.4396 0.4396
Be 0.5026 0.9892 0.9892
Be 0.6306 0.0419 0.3422
Be 0.6306 0.3422 0.0419
Be 0.6822 0.1833 0.6822
Be 0.6822 0.6822 0.1833
Be 0.8392 0.3369 0.3369
Be 0.9892 0.5026 0.9892
Be 0.9892 0.9892 0.5026
V 0.6743 0.6743 0.6743
! - DFT total energy: -85.7 eV/cell
! - Symmetry: R3m


! HfBe2V2, optimized geometry, DFT GGA-PBE; values from VASP
&SYSTEM
  ibrav = 0, nat = 10, ntyp = 3
/
ATOMIC_SPECIES
Hf 178.49 Hf.upf
Be 9.01 Be.upf
V 50.94 V.upf
CELL_PARAMETERS angstrom
6.6604 0.0000 0.0000
0.0000 6.6604 0.0000
0.0000 0.0000 2.9727
ATOMIC_POSITIONS crystal
Hf 0.0000 0.0000 0.0000
Hf 0.5000 0.5000 0.0000
Be 0.1124 0.3876 0.0000
Be 0.3876 0.8876 0.0000
Be 0.6124 0.1124 0.0000
Be 0.8876 0.6124 0.0000
V 0.1770 0.6770 0.5000
V 0.3230 0.1770 0.5000
V 0.6770 0.8230 0.5000
V 0.8230 0.3230 0.5000
! - Relative energy among the computed polymorphs: 0.000 eV/atom
! - Symmetry: P4/mbm


! HfBe2V, optimized geometry, DFT GGA-PBE; values from VASP
&SYSTEM
  ibrav = 0, nat = 8, ntyp = 3
/
ATOMIC_SPECIES
Hf 178.49 Hf.upf
Be 9.01 Be.upf
V 50.94 V.upf
CELL_PARAMETERS angstrom
-1.9407 1.9407 8.1284
1.9407 -1.9407 8.1284
1.9407 1.9407 -8.1284
ATOMIC_POSITIONS crystal
Hf 0.0000 0.0000 0.0000
Hf 0.7500 0.2500 0.5000
Be 0.2891 0.6250 0.1641
Be 0.3750 0.5391 0.6641
Be 0.4609 0.1250 0.8359
Be 0.8750 0.7109 0.3359
V 0.2500 0.7500 0.5000
V 0.5000 0.5000 0.0000
! - Relative energy among the computed polymorphs: 0.722 eV/atom
! - Symmetry: I-42d


! Hf12Be5V3, optimized geometry, DFT GGA-PBE; values from VASP
&SYSTEM
  ibrav = 0, nat = 80, ntyp = 3
/
ATOMIC_SPECIES
Hf 178.49 Hf.upf
Be 9.01 Be.upf
V 50.94 V.upf
CELL_PARAMETERS angstrom
-7.4917 7.4917 7.4917
7.4917 -7.4917 7.4917
7.4917 7.4917 -7.4917
ATOMIC_POSITIONS crystal
Hf 0.0503 0.2203 0.1264
Hf 0.0503 0.3300 0.9239
Hf 0.0761 0.6264 0.4061
Hf 0.0761 0.9497 0.6700
Hf 0.0939 0.7203 0.6700
Hf 0.0939 0.8736 0.4239
Hf 0.1264 0.0503 0.2203
Hf 0.1264 0.5761 0.9061
Hf 0.1700 0.2203 0.5939
Hf 0.1700 0.4497 0.5761
Hf 0.2203 0.1264 0.0503
Hf 0.2203 0.5939 0.1700
Hf 0.2797 0.3300 0.9061
Hf 0.2797 0.4497 0.3736
Hf 0.3300 0.9061 0.2797
Hf 0.3300 0.9239 0.0503
Hf 0.3736 0.2797 0.4497
Hf 0.3736 0.5939 0.9239
Hf 0.4061 0.0761 0.6264
Hf 0.4061 0.8300 0.7797
Hf 0.4239 0.0939 0.8736
Hf 0.4239 0.8300 0.5503
Hf 0.4497 0.3736 0.2797
Hf 0.4497 0.5761 0.1700
Hf 0.5503 0.4239 0.8300
Hf 0.5503 0.6264 0.7203
Hf 0.5761 0.1700 0.4497
Hf 0.5761 0.9061 0.1264
Hf 0.5939 0.1700 0.2203
Hf 0.5939 0.9239 0.3736
Hf 0.6264 0.4061 0.0761
Hf 0.6264 0.7203 0.5503
Hf 0.6700 0.0761 0.9497
Hf 0.6700 0.0939 0.7203
Hf 0.7203 0.5503 0.6264
Hf 0.7203 0.6700 0.0939
Hf 0.7797 0.4061 0.8300
Hf 0.7797 0.8736 0.9497
Hf 0.8300 0.5503 0.4239
Hf 0.8300 0.7797 0.4061
Hf 0.8736 0.4239 0.0939
Hf 0.8736 0.9497 0.7797
Hf 0.9061 0.1264 0.5761
Hf 0.9061 0.2797 0.3300
Hf 0.9239 0.0503 0.3300
Hf 0.9239 0.3736 0.5939
Hf 0.9497 0.6700 0.0761
Hf 0.9497 0.7797 0.8736
Be 0.0000 0.0000 0.0000
Be 0.0000 0.0000 0.5000
Be 0.0000 0.5000 0.0000
Be 0.0000 0.5000 0.5000
Be 0.1250 0.7500 0.8750
Be 0.1250 0.8750 0.2500
Be 0.2500 0.1250 0.8750
Be 0.2500 0.6250 0.3750
Be 0.3750 0.2500 0.6250
Be 0.3750 0.6250 0.7500
Be 0.5000 0.0000 0.0000
Be 0.5000 0.0000 0.5000
Be 0.5000 0.5000 0.0000
Be 0.5000 0.5000 0.5000
Be 0.6250 0.3750 0.2500
Be 0.6250 0.7500 0.3750
Be 0.7500 0.3750 0.6250
Be 0.7500 0.8750 0.1250
Be 0.8750 0.1250 0.7500
Be 0.8750 0.2500 0.1250
V 0.1250 0.2500 0.3750
V 0.1250 0.3750 0.7500
V 0.2500 0.3750 0.1250
V 0.2500 0.8750 0.6250
V 0.3750 0.1250 0.2500
V 0.3750 0.7500 0.1250
V 0.6250 0.2500 0.8750
V 0.6250 0.8750 0.7500
V 0.7500 0.1250 0.3750
V 0.7500 0.6250 0.8750
V 0.8750 0.6250 0.2500
V 0.8750 0.7500 0.6250
! - DFT total energy: -595.4 eV/cell
! - Symmetry: Ia-3d